Density functional theory data (PBE) for an optimized crystal structure of Pm3Sm4Ho8.

abc: 6.7661 9.2907 9.2907
angles: 87.39 111.35 111.35
With the nearest neighbours (Å) after each atom.
Element x y z (fractional)
Pm 0.5000 0.5000 0.0000  4 Ho 3.22-3.36, 2 Sm 3.38
Pm 0.5000 0.0000 0.5000  4 Ho 3.22-3.36, 2 Sm 3.38
Pm 0.5000 0.5000 0.5000  6 Ho 3.14-3.23
Sm 0.5000 0.0000 0.0000  6 Ho 3.28-3.50, 2 Sm 3.38
Sm 0.0000 0.5000 0.0000  4 Ho 3.22-3.36, 2 Pm 3.38
Sm 0.0000 0.0000 0.0000  2 Sm 3.38, 4 Ho 3.56-3.58
Sm 0.0000 0.0000 0.5000  4 Ho 3.22-3.36, 2 Pm 3.38
Ho 0.5294 0.2674 0.2674  3 Pm 3.22-3.23, 2 Ho 3.24-3.53, 2 Sm 3.50-3.58
Ho 0.0000 0.6399 0.3601  7 Ho 3.59-3.64, 2 Sm 3.64, 4 Pm 3.64-3.83
Ho 0.0069 0.2668 0.2668  4 Sm 3.22-3.56, 1 Pm 3.23, 2 Ho 3.24-3.53
Ho 0.5000 0.7445 0.2555  3 Pm 3.14-3.36, 3 Sm 3.28-3.36
Ho 0.5000 0.2555 0.7445  3 Pm 3.14-3.36, 3 Sm 3.28-3.36
Ho 0.9931 0.7332 0.7332  4 Sm 3.22-3.56, 1 Pm 3.23, 2 Ho 3.24-3.53
Ho 0.0000 0.3601 0.6399  7 Ho 3.59-3.64, 2 Sm 3.64, 4 Pm 3.64-3.83
Ho 0.4706 0.7326 0.7326  3 Pm 3.22-3.23, 2 Ho 3.24-3.53, 2 Sm 3.50-3.58

Output
SG: C2/m, No. 12
E_form (meV per atom): 372